Entry 1:
First-principles (meta-GGA SCAN) data for a crystal of K2SiCl relaxed with PBEsol, as listed in Alexandria.

Cell lengths 7.1731, 7.1731, 7.1731 Å; angles 112.54, 107.96, 107.96 degrees
Fractional positions:
K 0.0411 0.6661 0.1250
K 0.9589 0.0839 0.6250
K 0.4589 0.3750 0.3339
K 0.5411 0.8750 0.9161
Si 0.0000 0.5000 0.5000
Si 0.5000 0.2500 0.7500
Cl 0.0000 0.0000 0.0000
Cl 0.5000 0.7500 0.2500

Properties
Calculated density, Mg/m³: 1.7
Symmetry: I-42d (122)
Raw formation energy, eV per atom: -0.329
Energy relative to the lowest polymorph listed for this composition, eV per atom: 0.2333

***

Entry 2:
First-principles (meta-GGA SCAN) data for a crystal of Na2HfInRu relaxed with PBEsol, as listed in Alexandria.

Cell lengths 4.5203, 5.8243, 5.8243 Å; angles 90.00, 90.00, 90.00 degrees
Fractional positions:
Na 0.0000 0.0000 0.5000
Na 0.0000 0.5000 0.0000
Ru 0.5000 0.0000 0.0000
Hf 0.0000 0.0000 0.0000
In 0.5000 0.5000 0.5000

Properties
E_form, meV per atom: 1043
Calculated density, Mg/m³: 4.8
Symmetry: P4/mmm (123)

***

Entry 3:
First-principles (meta-GGA SCAN) data for a crystal of K2AgPb relaxed with PBEsol, as listed in Alexandria.

Cell lengths 5.0518, 5.0528, 6.9023 Å; angles 111.45, 90.00, 119.99 degrees
Fractional positions:
Pb 0.4586 0.9171 0.3758
K 0.0188 0.0377 0.0561
K 0.2305 0.4611 0.6918
Ag 0.7921 0.5841 0.3763

Properties
E_form, meV per atom: -138
Calculated density, Mg/m³: 4.7
Symmetry: R3m (160)

***

- Which value of calculated density does entry 2 give?
  4.8 Mg/m³